Entry A
VASP calculation (GGA-PBE) on an optimized crystal structure of Ge3HPt.

```
data_Ge3HPt
_symmetry_space_group_name_H-M 'P m -3 m'
_symmetry_Int_Tables_number 221
_symmetry_space_group_name_Hall '-P 4 2 3'
_cell_length_a 4.203
_cell_length_b 4.203
_cell_length_c 4.203
_cell_angle_alpha 90.00
_cell_angle_beta 90.00
_cell_angle_gamma 90.00
loop_
_atom_site_label
_atom_site_fract_x
_atom_site_fract_y
_atom_site_fract_z
_atom_site_occupancy
Ge1 0.000 0.000 0.500 1
H1 0.000 0.000 0.000 1
Pt1 0.500 0.500 0.500 1
```

---

Entry B
VASP calculation (GGA-PBE) on an optimized crystal structure of Ge3HPt.

```
data_Ge3HPt
_symmetry_space_group_name_H-M 'P m -3 m'
_symmetry_Int_Tables_number 221
_symmetry_space_group_name_Hall '-P 4 2 3'
_cell_length_a 4.897
_cell_length_b 4.897
_cell_length_c 4.897
_cell_angle_alpha 90.00
_cell_angle_beta 90.00
_cell_angle_gamma 90.00
loop_
_atom_site_label
_atom_site_fract_x
_atom_site_fract_y
_atom_site_fract_z
_atom_site_occupancy
Ge1 0.000 0.000 0.500 1
H1 0.500 0.500 0.500 1
Pt1 0.000 0.000 0.000 1
```

---

It is entry A that is the most stable of them.

---

Entry A
VASP calculation (GGA-PBE) on an optimized crystal structure of Ge2HPt.

```
data_Ge2HPt
_symmetry_space_group_name_H-M 'I -4 2 d'
_symmetry_Int_Tables_number 122
_symmetry_space_group_name_Hall 'I -4 2bw'
_cell_length_a 4.676
_cell_length_b 4.676
_cell_length_c 11.972
_cell_angle_alpha 90.00
_cell_angle_beta 90.00
_cell_angle_gamma 90.00
loop_
_atom_site_label
_atom_site_fract_x
_atom_site_fract_y
_atom_site_fract_z
_atom_site_occupancy
Ge1 0.167 0.250 0.125 1
H1 0.000 0.000 0.000 1
Pt1 0.000 0.000 0.500 1
```

---

Entry B
VASP calculation (GGA-PBE) on an optimized crystal structure of Ge2HPt.

```
data_Ge2HPt
_symmetry_space_group_name_H-M 'F m -3 m'
_symmetry_Int_Tables_number 225
_symmetry_space_group_name_Hall '-F 4 2 3'
_cell_length_a 6.094
_cell_length_b 6.094
_cell_length_c 6.094
_cell_angle_alpha 90.00
_cell_angle_beta 90.00
_cell_angle_gamma 90.00
loop_
_atom_site_label
_atom_site_fract_x
_atom_site_fract_y
_atom_site_fract_z
_atom_site_occupancy
Ge1 0.250 0.250 0.250 1
H1 0.000 0.000 0.000 1
Pt1 0.000 0.000 0.500 1
```

---

It is entry B that is the most stable of them.

---

Entry A
VASP calculation (GGA-PBE) on an optimized crystal structure of GeH3Pt.

```
data_GeH3Pt
_symmetry_space_group_name_H-M 'P m -3 m'
_symmetry_Int_Tables_number 221
_symmetry_space_group_name_Hall '-P 4 2 3'
_cell_length_a 3.650
_cell_length_b 3.650
_cell_length_c 3.650
_cell_angle_alpha 90.00
_cell_angle_beta 90.00
_cell_angle_gamma 90.00
loop_
_atom_site_label
_atom_site_fract_x
_atom_site_fract_y
_atom_site_fract_z
_atom_site_occupancy
Ge1 0.000 0.000 0.000 1
H1 0.000 0.000 0.500 1
Pt1 0.500 0.500 0.500 1
```

---

Entry B
VASP calculation (GGA-PBE) on an optimized crystal structure of GeH3Pt.

```
data_GeH3Pt
_symmetry_space_group_name_H-M 'P m -3 m'
_symmetry_Int_Tables_number 221
_symmetry_space_group_name_Hall '-P 4 2 3'
_cell_length_a 3.663
_cell_length_b 3.663
_cell_length_c 3.663
_cell_angle_alpha 90.00
_cell_angle_beta 90.00
_cell_angle_gamma 90.00
loop_
_atom_site_label
_atom_site_fract_x
_atom_site_fract_y
_atom_site_fract_z
_atom_site_occupancy
Ge1 0.000 0.000 0.000 1
H1 0.000 0.500 0.500 1
Pt1 0.500 0.500 0.500 1
```

---

It is entry B that is the most stable of them.